Below is Li4MgGe2Au after structural relaxation, with properties calculated at the GGA-PBE level.

The structure in POSCAR format:
```
Li4MgGe2Au
1.0
4.471 0.000 0.000
0.000 4.471 0.000
0.000 0.000 6.320
Li Ge Au Mg
4 2 1 1
Cartesian
0.000 0.000 3.160
0.000 2.235 1.403
2.235 0.000 4.917
2.235 2.235 0.000
0.000 2.235 4.754
2.235 0.000 1.565
0.000 0.000 0.000
2.235 2.235 3.160
```

DFT total energy ... -3.11 eV/atom

---

Below is Li4GeAu2N after structural relaxation, with properties calculated at the GGA-PBE level.

The structure in POSCAR format:
```
Li4GeAu2N
1.0
3.964 0.000 0.000
0.000 3.964 0.000
0.000 0.000 6.874
Li N Au Ge
4 1 2 1
Cartesian
0.000 1.982 5.624
1.982 0.000 1.250
1.982 1.982 3.437
0.000 0.000 0.000
1.982 1.982 0.000
0.000 1.982 1.715
1.982 0.000 5.159
0.000 0.000 3.437
```

DFT total energy ... -3.52 eV/atom

---

Below is Li4NiGe2Au after structural relaxation, with properties calculated at the GGA-PBE level.

The structure in POSCAR format:
```
Li4NiGe2Au
1.0
4.226 0.000 0.000
0.000 4.226 0.000
0.000 0.000 6.084
Li Ge Ni Au
4 2 1 1
Cartesian
2.113 0.000 4.505
2.113 2.113 0.000
0.000 2.113 1.579
0.000 0.000 3.042
2.113 0.000 1.720
0.000 2.113 4.363
2.113 2.113 3.042
0.000 0.000 0.000
```

DFT total energy ... -3.65 eV/atom

---

Which of these has the lowest DFT total energy?
Li4NiGe2Au

---

Copy entry 3 word for word.
Below is Li4NiGe2Au after structural relaxation, with properties calculated at the GGA-PBE level.

The structure in POSCAR format:
```
Li4NiGe2Au
1.0
4.226 0.000 0.000
0.000 4.226 0.000
0.000 0.000 6.084
Li Ge Ni Au
4 2 1 1
Cartesian
2.113 0.000 4.505
2.113 2.113 0.000
0.000 2.113 1.579
0.000 0.000 3.042
2.113 0.000 1.720
0.000 2.113 4.363
2.113 2.113 3.042
0.000 0.000 0.000
```

DFT total energy ... -3.65 eV/atom

---

Among the records above, which one has the lowest DFT total energy?
Li4NiGe2Au